[1]
First-principles (GGA-PBE) data for a relaxed Cs4TlSn3F12 crystal, as listed in Alexandria via LeMat-Bulk.

Geometry as POSCAR:
```
Cs4TlSn3F12
1.0
-4.8133 4.8133 4.8133
4.8133 -4.8133 4.8133
4.8133 4.8133 -4.8133
Cs Tl Sn F
4 1 3 12
direct
0.0000 0.0000 0.5000
0.0000 0.5000 0.0000
0.5000 0.0000 0.0000
0.5000 0.5000 0.5000
0.0000 0.0000 0.0000
0.0000 0.5000 0.5000
0.5000 0.0000 0.5000
0.5000 0.5000 0.0000
0.0000 0.2697 0.2697
0.0000 0.7303 0.7303
0.2500 0.5000 0.7500
0.2500 0.7500 0.5000
0.2697 0.0000 0.2697
0.2697 0.2697 0.0000
0.5000 0.2500 0.7500
0.5000 0.7500 0.2500
0.7303 0.0000 0.7303
0.7303 0.7303 0.0000
0.7500 0.2500 0.5000
0.7500 0.5000 0.2500
```

Computed properties:
Its space group is Im-3m, No. 229. The uncorrected formation energy comes out at -2.433 eV per atom. The value obtained for the calculated total energy is -4.45 eV/atom. The density comes out at 4.91 Mg/m³.


[2]
First-principles (GGA-PBE) data for a relaxed CsTl2SnF8 crystal, as listed in Alexandria via LeMat-Bulk.

Geometry as POSCAR:
```
CsTl2SnF8
1.0
5.3088 0.0000 0.0000
-0.1094 5.8515 0.0000
-0.0283 -0.0431 8.1497
Cs Tl Sn F
1 2 1 8
direct
0.0000 0.0000 0.0000
0.4993 0.4992 0.7500
0.5007 0.5008 0.2500
0.0000 0.0000 0.5000
0.1394 0.7968 0.3232
0.1443 0.8005 0.6762
0.3068 0.2081 0.4987
0.4652 0.2776 0.9993
0.5348 0.7224 0.0007
0.6932 0.7919 0.5013
0.8557 0.1995 0.3238
0.8606 0.2032 0.6768
```

Computed properties:
Its space group is P-1, No. 2. The uncorrected formation energy comes out at -2.240 eV per atom. The value obtained for the calculated total energy is -4.29 eV/atom. The density comes out at 5.33 Mg/m³.